{
  "formula": "Pa2TiBi",
  "functional": "PBE",
  "state": "optimized geometry",
  "lattice": [[4.029, 0.000, 0.000], [0.000, 4.029, 0.000], [0.000, 0.000, 6.252]],
  "species": ["Pa", "Pa", "Ti", "Bi"],
  "frac_coords": [[0.000, 0.000, 0.223], [0.000, 0.000, 0.777], [0.500, 0.500, 0.000], [0.500, 0.500, 0.500]],
  "de_polymorph_mev_per_atom": 189,
  "formation_energy_ev_per_atom": 0.17,
  "volume_a3_per_atom": 25.37,
  "energy_ev_per_fu": -30.09,
  "magmom_total_mub_per_cell": 3.60,
  "sg": "P4/mmm (123)"
}